1.
Compound: MgSi2Ir2
Source: the Alexandria database
Functional: GGA-PBE
Structure: optimized geometry

Computed properties:
- space-group type = P4/nmm
- energy relative to the elements, uncorrected (eV per atom) = -0.675
- calculated total energy (eV per atom) = -6.707

Cell lengths 3.967, 3.967, 10.221 Å; angles 90.00, 90.00, 90.00 degrees
Sites, in units of the cell vectors:
Mg: 0.250 0.250 0.245
Mg: 0.750 0.750 0.755
Si: 0.250 0.250 0.870
Si: 0.250 0.750 0.500
Si: 0.750 0.250 0.500
Si: 0.750 0.750 0.130
Ir: 0.250 0.250 0.637
Ir: 0.250 0.750 0.000
Ir: 0.750 0.250 0.000
Ir: 0.750 0.750 0.363

***

2.
Compound: MgSi3Ir2
Source: the Alexandria database
Functional: GGA-PBE
Structure: optimized geometry

Computed properties:
- space-group type = C2/m
- energy relative to the elements, uncorrected (eV per atom) = -0.477
- calculated total energy (eV per atom) = -6.408

Cell lengths 8.185, 8.185, 10.539 Å; angles 111.93, 111.93, 25.88 degrees
Sites, in units of the cell vectors:
Mg: 0.000 0.000 0.000
Mg: 0.159 0.159 0.692
Mg: 0.841 0.841 0.308
Si: 0.018 0.018 0.342
Si: 0.218 0.218 0.385
Si: 0.313 0.313 0.028
Si: 0.378 0.378 0.802
Si: 0.500 0.500 0.500
Si: 0.622 0.622 0.198
Si: 0.687 0.687 0.972
Si: 0.782 0.782 0.615
Si: 0.982 0.982 0.658
Ir: 0.201 0.201 0.143
Ir: 0.367 0.367 0.558
Ir: 0.468 0.468 0.191
Ir: 0.532 0.532 0.809
Ir: 0.633 0.633 0.442
Ir: 0.799 0.799 0.857

***

3.
Compound: Mg3Si3Ir2
Source: the Alexandria database
Functional: GGA-PBE
Structure: optimized geometry

Computed properties:
- space-group type = Pnma
- energy relative to the elements, uncorrected (eV per atom) = -0.504
- calculated total energy (eV per atom) = -5.351

Cell lengths 7.170, 14.760, 5.220 Å; angles 90.00, 90.00, 90.00 degrees
Sites, in units of the cell vectors:
Mg: 0.015 0.124 0.100
Mg: 0.015 0.376 0.100
Mg: 0.174 0.250 0.616
Mg: 0.326 0.750 0.116
Mg: 0.485 0.624 0.600
Mg: 0.485 0.876 0.600
Mg: 0.515 0.124 0.400
Mg: 0.515 0.376 0.400
Mg: 0.674 0.250 0.884
Mg: 0.826 0.750 0.384
Mg: 0.985 0.624 0.900
Mg: 0.985 0.876 0.900
Si: 0.166 0.034 0.614
Si: 0.166 0.466 0.614
Si: 0.175 0.750 0.618
Si: 0.325 0.250 0.118
Si: 0.334 0.534 0.114
Si: 0.334 0.966 0.114
Si: 0.666 0.034 0.886
Si: 0.666 0.466 0.886
Si: 0.675 0.750 0.882
Si: 0.825 0.250 0.382
Si: 0.834 0.534 0.386
Si: 0.834 0.966 0.386
Ir: 0.128 0.607 0.398
Ir: 0.128 0.893 0.398
Ir: 0.372 0.107 0.898
Ir: 0.372 0.393 0.898
Ir: 0.628 0.607 0.102
Ir: 0.628 0.893 0.102
Ir: 0.872 0.107 0.602
Ir: 0.872 0.393 0.602

***

4.
Compound: Mg2Si2Ir
Source: the Alexandria database
Functional: GGA-PBE
Structure: optimized geometry

Computed properties:
- space-group type = P4/mbm
- energy relative to the elements, uncorrected (eV per atom) = -0.470
- calculated total energy (eV per atom) = -5.049

Cell lengths 6.251, 6.251, 4.186 Å; angles 90.00, 90.00, 90.00 degrees
Sites, in units of the cell vectors:
Mg: 0.178 0.322 0.000
Mg: 0.322 0.822 0.000
Mg: 0.678 0.178 0.000
Mg: 0.822 0.678 0.000
Si: 0.133 0.633 0.500
Si: 0.367 0.133 0.500
Si: 0.633 0.867 0.500
Si: 0.867 0.367 0.500
Ir: 0.000 0.000 0.500
Ir: 0.500 0.500 0.500

***

5.
Compound: Mg2SiIr
Source: the Alexandria database
Functional: GGA-PBE
Structure: optimized geometry

Computed properties:
- space-group type = Cmmm
- energy relative to the elements, uncorrected (eV per atom) = 0.013
- calculated total energy (eV per atom) = -4.356

Cell lengths 2.888, 2.888, 8.717 Å; angles 90.00, 90.00, 114.73 degrees
Sites, in units of the cell vectors:
Mg: 0.000 0.000 0.240
Mg: 0.000 0.000 0.760
Si: 0.500 0.500 0.500
Ir: 0.500 0.500 0.000

***

6.
Compound: Mg2SiIr
Source: the Alexandria database
Functional: GGA-PBE
Structure: optimized geometry

Computed properties:
- space-group type = R-3m
- energy relative to the elements, uncorrected (eV per atom) = -0.013
- calculated total energy (eV per atom) = -4.381

Cell lengths 9.138, 9.138, 9.138 Å; angles 18.43, 18.43, 18.43 degrees
Sites, in units of the cell vectors:
Mg: 0.244 0.244 0.244
Mg: 0.756 0.756 0.756
Si: 0.000 0.000 0.000
Ir: 0.500 0.500 0.500

***

7.
Compound: MgSiIr
Source: the Alexandria database
Functional: GGA-PBE
Structure: optimized geometry

Computed properties:
- space-group type = P3m1
- energy relative to the elements, uncorrected (eV per atom) = -0.253
- calculated total energy (eV per atom) = -5.546

Cell lengths 2.972, 2.972, 6.268 Å; angles 90.00, 90.00, 120.00 degrees
Sites, in units of the cell vectors:
Mg: 0.000 0.000 0.000
Si: 0.667 0.333 0.376
Ir: 0.333 0.667 0.650

***

8.
Compound: MgSiIr
Source: the Alexandria database
Functional: GGA-PBE
Structure: optimized geometry

Computed properties:
- space-group type = Imm2
- energy relative to the elements, uncorrected (eV per atom) = -0.459
- calculated total energy (eV per atom) = -5.752

Cell lengths 5.053, 5.053, 5.053 Å; angles 146.32, 139.37, 53.77 degrees
Sites, in units of the cell vectors:
Mg: 0.000 0.000 0.000
Si: 0.303 0.303 0.000
Ir: 0.695 0.695 0.000